First-principles (PBE-GGA) data for a geometry-optimized K2Cu2HgI6 structure, as listed in Alexandria via LeMat-Bulk.

Properties
E_form (uncorrected): -0.61 eV/atom
magnetization: 0.0 Bohr magnetons per cell
crystal system: monoclinic

Cell and atoms, written as CIF:
```
data_K2Cu2HgI6
_chemical_formula_sum 'K4 Cu4 Hg2 I12'
_symmetry_space_group_name_H-M 'C 1 2/m 1'
_symmetry_Int_Tables_number 12
_symmetry_space_group_name_Hall '-C 2y'
_cell_length_a 14.927
_cell_length_b 8.219
_cell_length_c 8.202
_cell_angle_alpha 90.00
_cell_angle_beta 120.82
_cell_angle_gamma 90.00
loop_
_atom_site_label
_atom_site_type_symbol
_atom_site_fract_x
_atom_site_fract_y
_atom_site_fract_z
K1 K 0.242 0.000 0.217
Cu1 Cu 0.045 0.500 0.197
Hg1 Hg 0.000 0.000 0.500
I1 I 0.060 0.250 0.809
I2 I 0.241 0.500 0.341
```

First-principles (PBE-GGA) data for a geometry-optimized Re2AgHg structure, as listed in Alexandria via LeMat-Bulk.

Properties
magnetization: 0.0 Bohr magnetons per cell
E_form: 0.54 eV/atom
crystal system: monoclinic

Cell and atoms, written as CIF:
```
data_Re2AgHg
_chemical_formula_sum 'Re2 Ag1 Hg1'
_symmetry_space_group_name_H-M 'P 1 m 1'
_symmetry_Int_Tables_number 6
_symmetry_space_group_name_Hall 'P -2y'
_cell_length_a 2.899
_cell_length_b 3.915
_cell_length_c 6.155
_cell_angle_alpha 90.00
_cell_angle_beta 91.53
_cell_angle_gamma 90.00
loop_
_atom_site_label
_atom_site_type_symbol
_atom_site_fract_x
_atom_site_fract_y
_atom_site_fract_z
Re1 Re 0.000 0.000 0.000
Re2 Re 0.423 0.500 0.170
Ag1 Ag 0.949 0.000 0.452
Hg1 Hg 0.456 0.500 0.701
```

First-principles (PBE-GGA) data for a geometry-optimized Dy3Bi2Se2 structure, as listed in Alexandria via LeMat-Bulk.

Properties
E_form (uncorrected): -1.16 eV/atom
magnetization: 0.0 Bohr magnetons per cell
crystal system: monoclinic

Cell and atoms, written as CIF:
```
data_Dy3Bi2Se2
_chemical_formula_sum 'Dy6 Bi4 Se4'
_symmetry_space_group_name_H-M 'C 1 2/m 1'
_symmetry_Int_Tables_number 12
_symmetry_space_group_name_Hall '-C 2y'
_cell_length_a 15.960
_cell_length_b 4.120
_cell_length_c 7.828
_cell_angle_alpha 90.00
_cell_angle_beta 115.05
_cell_angle_gamma 90.00
loop_
_atom_site_label
_atom_site_type_symbol
_atom_site_fract_x
_atom_site_fract_y
_atom_site_fract_z
Dy1 Dy 0.000 0.000 0.000
Dy2 Dy 0.231 0.500 0.762
Bi1 Bi 0.127 0.500 0.315
Se1 Se 0.135 0.000 0.846
```

magnetization of number 3 (Dy3Bi2Se2)?
0.0 Bohr magnetons per cell

Which formula does entry 3 have?
Dy3Bi2Se2

Look up the magnetization of the first one.
0.0 Bohr magnetons per cell